Record 1
A plane-wave DFT calculation with PBE was carried out for a geometry-optimized BaLa2GaRe structure.

E_form, eV/atom: 2.02
Fermi-level density of states, states/eV per atom: 1.936

```
data_BaLa2GaRe
_space_group_name_H-M_alt 'P 4/m m m'
_space_group_IT_number 123
_space_group_name_Hall '-P 4 2'
_cell_length_a 5.775
_cell_length_b 5.775
_cell_length_c 5.227
_cell_angle_alpha 90.00
_cell_angle_beta 90.00
_cell_angle_gamma 90.00
loop_
_atom_site_label
_atom_site_type_symbol
_atom_site_fract_x
_atom_site_fract_y
_atom_site_fract_z
_atom_site_occupancy
Ba1 Ba 0.000 0.000 0.000 1
La1 La 0.000 0.500 0.000 1
Ga1 Ga 0.000 0.000 0.500 1
Re1 Re 0.500 0.500 0.500 1
```



Record 2
A plane-wave DFT calculation with PBE was carried out for a geometry-optimized BaLa2GaRh structure.

E_form, eV/atom: -0.34
Fermi-level density of states, states/eV per atom: 0.913

```
data_BaLa2GaRh
_space_group_name_H-M_alt 'P 4/m m m'
_space_group_IT_number 123
_space_group_name_Hall '-P 4 2'
_cell_length_a 5.593
_cell_length_b 5.593
_cell_length_c 5.148
_cell_angle_alpha 90.00
_cell_angle_beta 90.00
_cell_angle_gamma 90.00
loop_
_atom_site_label
_atom_site_type_symbol
_atom_site_fract_x
_atom_site_fract_y
_atom_site_fract_z
_atom_site_occupancy
Ba1 Ba 0.000 0.000 0.000 1
La1 La 0.000 0.500 0.500 1
Ga1 Ga 0.500 0.500 0.000 1
Rh1 Rh 0.500 0.500 0.500 1
```



Record 3
A plane-wave DFT calculation with PBE was carried out for a geometry-optimized BaLa2GaRu structure.

E_form, eV/atom: 0.35
Distance to the lowest polymorph of the same formula, eV/atom: 0.5674
Fermi-level density of states, states/eV per atom: 1.440

```
data_BaLa2GaRu
_space_group_name_H-M_alt 'P 4/m m m'
_space_group_IT_number 123
_space_group_name_Hall '-P 4 2'
_cell_length_a 6.178
_cell_length_b 6.178
_cell_length_c 5.031
_cell_angle_alpha 90.00
_cell_angle_beta 90.00
_cell_angle_gamma 90.00
loop_
_atom_site_label
_atom_site_type_symbol
_atom_site_fract_x
_atom_site_fract_y
_atom_site_fract_z
_atom_site_occupancy
Ba1 Ba 0.000 0.000 0.000 1
La1 La 0.000 0.500 0.500 1
Ga1 Ga 0.500 0.500 0.500 1
Ru1 Ru 0.500 0.500 0.000 1
```



Record 4
A plane-wave DFT calculation with PBE was carried out for a geometry-optimized BaLa2GaRu structure.

E_form, eV/atom: -0.22
Distance to the lowest polymorph of the same formula, eV/atom: 0.0000
Fermi-level density of states, states/eV per atom: 0.826

```
data_BaLa2GaRu
_space_group_name_H-M_alt 'P 4/m m m'
_space_group_IT_number 123
_space_group_name_Hall '-P 4 2'
_cell_length_a 5.510
_cell_length_b 5.510
_cell_length_c 5.230
_cell_angle_alpha 90.00
_cell_angle_beta 90.00
_cell_angle_gamma 90.00
loop_
_atom_site_label
_atom_site_type_symbol
_atom_site_fract_x
_atom_site_fract_y
_atom_site_fract_z
_atom_site_occupancy
Ba1 Ba 0.000 0.000 0.000 1
La1 La 0.000 0.500 0.500 1
Ga1 Ga 0.500 0.500 0.000 1
Ru1 Ru 0.500 0.500 0.500 1
```



Record 5
A plane-wave DFT calculation with PBE was carried out for a geometry-optimized BaLa2GaRu structure.

E_form, eV/atom: 0.79
Distance to the lowest polymorph of the same formula, eV/atom: 1.0110
Fermi-level density of states, states/eV per atom: 1.885

```
data_BaLa2GaRu
_space_group_name_H-M_alt 'P 4/m m m'
_space_group_IT_number 123
_space_group_name_Hall '-P 4 2'
_cell_length_a 5.696
_cell_length_b 5.696
_cell_length_c 6.056
_cell_angle_alpha 90.00
_cell_angle_beta 90.00
_cell_angle_gamma 90.00
loop_
_atom_site_label
_atom_site_type_symbol
_atom_site_fract_x
_atom_site_fract_y
_atom_site_fract_z
_atom_site_occupancy
Ba1 Ba 0.000 0.000 0.000 1
La1 La 0.000 0.500 0.500 1
Ga1 Ga 0.000 0.000 0.500 1
Ru1 Ru 0.500 0.500 0.000 1
```



Record 6
A plane-wave DFT calculation with PBE was carried out for a geometry-optimized BaLa2GaS structure.

Fermi-level density of states, states/eV per atom: 1.504
Formation energy (no corrections), eV per atom: 0.63

```
data_BaLa2GaS
_space_group_name_H-M_alt 'P 4/m m m'
_space_group_IT_number 123
_space_group_name_Hall '-P 4 2'
_cell_length_a 6.071
_cell_length_b 6.071
_cell_length_c 5.576
_cell_angle_alpha 90.00
_cell_angle_beta 90.00
_cell_angle_gamma 90.00
loop_
_atom_site_label
_atom_site_type_symbol
_atom_site_fract_x
_atom_site_fract_y
_atom_site_fract_z
_atom_site_occupancy
Ba1 Ba 0.000 0.000 0.000 1
La1 La 0.000 0.500 0.000 1
Ga1 Ga 0.500 0.500 0.500 1
S1 S 0.000 0.000 0.500 1
```



Record 7
A plane-wave DFT calculation with PBE was carried out for a geometry-optimized Ba2LaGaS5 structure.

Formation energy (no corrections), eV per atom: -1.75

```
data_Ba2LaGaS5
_space_group_name_H-M_alt 'C m c 21'
_space_group_IT_number 36
_space_group_name_Hall 'C 2c -2'
_cell_length_a 4.168
_cell_length_b 18.455
_cell_length_c 13.227
_cell_angle_alpha 90.00
_cell_angle_beta 90.00
_cell_angle_gamma 90.00
loop_
_atom_site_label
_atom_site_type_symbol
_atom_site_fract_x
_atom_site_fract_y
_atom_site_fract_z
_atom_site_occupancy
Ba1 Ba 0.000 0.118 0.000 1
Ba2 Ba 0.000 0.126 0.652 1
La1 La 0.000 0.199 0.348 1
Ga1 Ga 0.000 0.446 0.734 1
S1 S 0.000 0.034 0.327 1
S2 S 0.000 0.298 0.992 1
S3 S 0.000 0.323 0.692 1
S4 S 0.000 0.348 0.328 1
S5 S 0.000 0.496 0.086 1
```



Record 8
A plane-wave DFT calculation with PBE was carried out for a geometry-optimized BaLaGaSe4 structure.

Formation energy (no corrections), eV per atom: -1.55

```
data_BaLaGaSe4
_space_group_name_H-M_alt 'P 1 21/m 1'
_space_group_IT_number 11
_space_group_name_Hall '-P 2yb'
_cell_length_a 6.989
_cell_length_b 7.058
_cell_length_c 8.908
_cell_angle_alpha 90.00
_cell_angle_beta 107.67
_cell_angle_gamma 90.00
loop_
_atom_site_label
_atom_site_type_symbol
_atom_site_fract_x
_atom_site_fract_y
_atom_site_fract_z
_atom_site_occupancy
Ba1 Ba 0.247 0.250 0.437 1
La1 La 0.268 0.250 0.943 1
Ga1 Ga 0.275 0.750 0.183 1
Se1 Se 0.071 0.750 0.912 1
Se2 Se 0.080 0.750 0.365 1
Se3 Se 0.490 0.511 0.768 1
```